This record from Alexandria describes a geometry-optimized CrIn structure. The functional is PBE.

Computed properties:
The value obtained for the magnetic moment is 0.63 μB per atom. The calculated density comes out at 7.20 g cm⁻³. For the formation energy, the calculation gives 0.5038 eV/atom. The total energy comes out at -5.677 eV/atom.

a = 4.7851 Å, b = 4.7851 Å, c = 11.6358 Å
α = 90.00°, β = 90.00°, γ = 120.00°
Closest atoms and distances in Å follow each position.
Atoms (fractional coordinates):
Cr  0.3333  0.6667  0.4356  1 Cr 2.66, 3 In 2.85
Cr  0.0000  0.0000  0.1297  4 In 2.86-2.92, 4 Cr 2.91-3.02
Cr  0.6667  0.3333  0.5644  1 Cr 2.66, 3 In 2.85
In  0.0000  0.0000  0.6246  4 Cr 2.85-2.86, 4 In 2.89-2.90
In  0.6667  0.3333  0.0487  4 Cr 2.92-2.98, 4 In 2.95-2.99
In  0.3333  0.6667  0.6974  4 In 2.89-2.95, 7 Cr 2.98-3.17
Cr  0.6667  0.3333  0.7926  4 Cr 2.66-2.91
Cr  0.0000  0.0000  0.8703  4 In 2.86-2.92, 4 Cr 2.91-3.02
In  0.0000  0.0000  0.3754  4 Cr 2.85-2.86, 4 In 2.89-2.90
In  0.3333  0.6667  0.9513  4 Cr 2.92-2.98, 4 In 2.95-2.99
Cr  0.3333  0.6667  0.2074  4 Cr 2.66-2.91
In  0.6667  0.3333  0.3026  4 In 2.89-2.95, 7 Cr 2.98-3.17